First-principles (GGA-PBE) data for a relaxed Sr12TlAu6 crystal, as listed in Alexandria via LeMat-Bulk.

extended XYZ file:
```
19
Lattice="9.1352 0.0000 -3.2298 -4.5676 7.9113 -3.2298 0.0000 0.0000 9.6894" Properties=species:S:1:pos:R:3 pbc="T T T"
Sr -2.6276 6.4996 -0.1289
Au 0.5849 6.8983 -0.8272
Sr 2.3750 6.9371 -3.3587
Tl 0.0000 0.0000 0.0000
Sr 2.1926 0.9742 6.5885
Sr 7.1952 1.4118 3.3587
Sr 0.5625 3.7978 -0.7954
Sr 0.9974 6.4996 2.4343
Au 3.9827 1.0131 4.0570
Au 3.4536 3.9557 -2.4026
Sr 6.1275 2.3860 -2.4343
Sr -1.5599 5.5254 5.6641
Au 1.1140 3.9557 5.6324
Sr 4.3150 5.5254 0.1289
Au 6.2665 2.9426 0.8272
Au -1.6989 4.9687 2.4026
Sr 3.5702 1.4118 0.7954
Sr 4.0052 4.1136 4.0252
Sr 0.2526 2.3860 3.1009
```

ΔE_f = -0.532 eV/atom
M_tot = 0.00 μB/atom
space group = No. 204